Arrangement i

First-principles (PBE+U) data for a relaxed structure of LiMnSnO4, as listed in Alexandria.

extended XYZ file:
```
14
Lattice="-2.959 3.111 4.590 2.959 -3.111 4.590 2.959 3.111 -4.590" Properties=species:S:1:pos:R:3 pbc="T T T"
Li 0.000 1.556 1.216
Li 2.959 1.556 3.374
Mn 1.479 1.556 -2.295
Mn 1.479 -1.556 2.295
Sn 2.959 0.000 0.000
Sn 0.000 0.000 4.590
O 2.959 -0.227 2.140
O 2.959 2.884 -2.140
O 1.571 1.556 -0.006
O 4.346 1.556 -0.006
O -1.388 1.556 4.596
O 1.388 1.556 4.596
O 0.000 0.227 6.730
O 0.000 3.338 2.450
```

Computed properties:
ρ = 4.81 g/cm³
Calculated volume = 169.0 Å³/cell


Arrangement ii

First-principles (PBE+U) data for a relaxed structure of LiMnSnO4, as listed in Alexandria.

extended XYZ file:
```
28
Lattice="5.931 0.000 0.000 0.000 5.931 0.000 0.000 0.000 9.273" Properties=species:S:1:pos:R:3 pbc="T T T"
Li 0.000 1.389 0.000
Li 0.000 4.542 4.636
Li 1.389 0.000 2.318
Li 4.542 0.000 6.955
Mn 1.400 2.965 2.318
Mn 2.965 1.400 0.000
Mn 2.965 4.530 4.636
Mn 4.530 2.965 6.955
Sn 1.553 1.553 5.795
Sn 1.553 4.378 8.114
Sn 4.378 1.553 3.477
Sn 4.378 4.378 1.159
O 0.064 1.553 2.325
O 0.064 4.378 2.312
O 1.553 0.064 9.266
O 1.557 2.809 0.084
O 1.557 3.121 4.552
O 1.553 5.867 4.643
O 2.809 1.557 2.234
O 2.809 4.374 2.402
O 3.121 1.557 7.039
O 3.121 4.374 6.871
O 4.378 0.064 0.007
O 4.374 2.809 9.189
O 4.374 3.121 4.720
O 4.378 5.867 4.630
O 5.867 1.553 6.948
O 5.867 4.378 6.961
```

Computed properties:
ρ = 4.98 g/cm³
Calculated volume = 326.1 Å³/cell


The structure with the most favorable energy is arrangement i; the runner-up is 0.086 eV/atom above it.


Arrangement i

First-principles (PBE+U) data for a relaxed structure of Li3TiMn4O8, as listed in Alexandria.

extended XYZ file:
```
16
Lattice="6.120 0.000 0.000 2.989 5.353 0.000 3.055 1.793 5.030" Properties=species:S:1:pos:R:3 pbc="T T T"
Li 0.000 0.000 0.000
Li 3.022 3.573 2.515
Li 4.587 0.896 2.515
Ti 1.495 2.676 0.000
Mn 1.528 0.896 2.515
Mn 3.060 0.000 0.000
Mn 4.555 2.676 0.000
Mn 6.082 3.573 2.515
O 5.966 5.375 3.908
O 2.929 1.865 1.175
O 4.632 2.870 3.807
O 4.660 4.401 1.353
O 7.504 2.745 3.677
O 7.532 4.276 1.223
O 9.235 5.280 3.855
O 6.198 1.770 1.122
```

Computed properties:
ρ = 4.20 g/cm³
Calculated volume = 164.8 Å³/cell


Arrangement ii

First-principles (PBE+U) data for a relaxed structure of Li3TiMn4O8, as listed in Alexandria.

extended XYZ file:
```
32
Lattice="6.072 0.000 0.000 -3.030 5.310 0.000 -2.960 -1.774 9.958" Properties=species:S:1:pos:R:3 pbc="T T T"
Li 0.000 0.000 0.000
Li -2.995 1.768 4.979
Li -2.976 0.064 7.519
Li -1.453 2.605 7.479
Li 1.535 0.930 2.478
Li 3.058 3.472 2.439
Ti -0.025 3.592 2.497
Ti 0.107 -0.057 7.461
Mn -1.480 -0.887 4.979
Mn -1.515 2.655 0.000
Mn -1.469 0.878 2.465
Mn 3.036 0.000 0.000
Mn 1.556 -0.887 4.979
Mn 1.521 2.655 0.000
Mn 0.041 1.768 4.979
Mn 1.551 2.657 7.493
O -1.437 2.717 3.598
O -3.014 3.655 6.321
O -1.409 -0.760 8.642
O 0.005 0.132 3.849
O -2.868 1.727 8.800
O -1.378 4.356 1.384
O -1.285 0.866 6.176
O 0.095 1.885 1.268
O -0.013 1.651 8.689
O 1.367 2.670 3.782
O 1.460 -0.821 8.574
O 2.949 1.809 1.157
O 0.077 3.404 6.108
O 1.491 4.295 1.316
O 3.095 -0.119 3.637
O 1.519 0.819 6.360
```

Computed properties:
ρ = 4.31 g/cm³
Calculated volume = 321.1 Å³/cell


The structure with the most favorable energy is arrangement i; the runner-up is 0.109 eV/atom above it.